# Zr2TlO | the Alexandria database | PBE | optimized geometry
data_Zr2TlO
_cell_length_a 5.689
_cell_length_b 3.290
_cell_length_c 7.920
_cell_angle_alpha 90.00
_cell_angle_beta 103.73
_cell_angle_gamma 90.00
_symmetry_space_group_name_H-M 'C 1 m 1'
_symmetry_Int_Tables_number 8
loop_
_symmetry_equiv_pos_as_xyz
'x,y,z'
'x,-y,z'
'x+1/2,y+1/2,z'
'x+1/2,-y+1/2,z'
loop_
_atom_site_label
_atom_site_fract_x
_atom_site_fract_y
_atom_site_fract_z
Zr1 0.000 0.000 0.000
Zr2 0.215 0.000 0.650
Tl1 0.274 0.500 0.326
O1 0.108 0.500 0.827
# ΔE to the lowest computed polymorph ... 0 meV per atom
# Calculated total energy ... -7.301 eV per atom
# Density of states at the Fermi level ... 5.7 states/eV per cell